1.
A relaxed MnBPb3 crystal. Source: Alexandria via LeMat-Bulk, functional PBE-GGA.

Output
Offset from the most stable computed form = 0.216 eV per atom
Symmetry = No. 221

The structure in CIF format:
```
data_MnBPb3
_chemical_formula_sum 'Mn1 B1 Pb3'
_cell_length_a 5.1546
_cell_length_b 5.1546
_cell_length_c 5.1546
_cell_angle_alpha 90.00
_cell_angle_beta 90.00
_cell_angle_gamma 90.00
_space_group_name_H-M_alt 'P 1'
_space_group_IT_number 1
_space_group_name_Hall 'P 1'
loop_
_atom_site_label
_atom_site_type_symbol
_atom_site_fract_x
_atom_site_fract_y
_atom_site_fract_z
Pb1 Pb 0.0000 0.5000 0.0000
Pb2 Pb 0.0000 0.0000 0.5000
Pb3 Pb 0.5000 0.0000 0.0000
B1 B 0.5000 0.5000 0.5000
Mn1 Mn 0.0000 0.0000 0.0000
```

=====

2.
A relaxed MnBPb2S5 crystal. Source: Alexandria via LeMat-Bulk, functional PBE-GGA.

Output
Symmetry = No. 36

The structure in CIF format:
```
data_MnBPb2S5
_chemical_formula_sum 'Mn2 B2 Pb4 S10'
_cell_length_a 3.5893
_cell_length_b 8.6793
_cell_length_c 12.5676
_cell_angle_alpha 90.00
_cell_angle_beta 90.00
_cell_angle_gamma 101.93
_space_group_name_H-M_alt 'P 1'
_space_group_IT_number 1
_space_group_name_Hall 'P 1'
loop_
_atom_site_label
_atom_site_type_symbol
_atom_site_fract_x
_atom_site_fract_y
_atom_site_fract_z
Mn1 Mn 0.8093 0.6186 0.5301
Mn2 Mn 0.1907 0.3814 0.0301
B1 B 0.5644 0.1288 0.9156
B2 B 0.4356 0.8712 0.4156
Pb1 Pb 0.8783 0.7566 0.8307
Pb2 Pb 0.1403 0.2805 0.6805
Pb3 Pb 0.1217 0.2434 0.3307
Pb4 Pb 0.8597 0.7195 0.1805
S1 S 0.3291 0.6582 0.0127
S2 S 0.6756 0.3511 0.8936
S3 S 0.5057 0.0114 0.7909
S4 S 0.3073 0.6146 0.6634
S5 S 0.9527 0.9054 0.5064
S6 S 0.6709 0.3418 0.5127
S7 S 0.3244 0.6489 0.3936
S8 S 0.4943 0.9886 0.2909
S9 S 0.6927 0.3854 0.1634
S10 S 0.0473 0.0946 0.0064
```

=====

3.
A relaxed Sr2MnBPb crystal. Source: Alexandria via LeMat-Bulk, functional PBE-GGA.

Output
Symmetry = No. 123

The structure in CIF format:
```
data_Sr2MnBPb
_chemical_formula_sum 'Sr2 Mn1 B1 Pb1'
_cell_length_a 5.6262
_cell_length_b 4.6187
_cell_length_c 5.6262
_cell_angle_alpha 90.00
_cell_angle_beta 90.00
_cell_angle_gamma 90.00
_space_group_name_H-M_alt 'P 1'
_space_group_IT_number 1
_space_group_name_Hall 'P 1'
loop_
_atom_site_label
_atom_site_type_symbol
_atom_site_fract_x
_atom_site_fract_y
_atom_site_fract_z
Pb1 Pb 0.0000 0.5000 0.0000
Sr1 Sr 0.0000 0.0000 0.5000
Sr2 Sr 0.5000 0.0000 0.0000
B1 B 0.0000 0.0000 0.0000
Mn1 Mn 0.5000 0.5000 0.5000
```

=====

4.
A relaxed Mn2TcBPb crystal. Source: Alexandria via LeMat-Bulk, functional PBE-GGA.

Output
Symmetry = No. 123

The structure in CIF format:
```
data_Mn2TcBPb
_chemical_formula_sum 'Mn2 Tc1 B1 Pb1'
_cell_length_a 4.6809
_cell_length_b 5.2521
_cell_length_c 4.6809
_cell_angle_alpha 90.00
_cell_angle_beta 90.00
_cell_angle_gamma 90.00
_space_group_name_H-M_alt 'P 1'
_space_group_IT_number 1
_space_group_name_Hall 'P 1'
loop_
_atom_site_label
_atom_site_type_symbol
_atom_site_fract_x
_atom_site_fract_y
_atom_site_fract_z
Pb1 Pb 0.0000 0.5000 0.0000
B1 B 0.5000 0.5000 0.5000
Mn1 Mn 0.0000 0.0000 0.5000
Mn2 Mn 0.5000 0.0000 0.0000
Tc1 Tc 0.0000 0.0000 0.0000
```

=====

5.
A relaxed MnBPd3 crystal. Source: Alexandria via LeMat-Bulk, functional PBE-GGA.

Output
Offset from the most stable computed form = 1.875 eV per atom
Symmetry = No. 221

The structure in CIF format:
```
data_MnBPd3
_chemical_formula_sum 'Mn1 B1 Pd3'
_cell_length_a 4.5271
_cell_length_b 4.5271
_cell_length_c 4.5271
_cell_angle_alpha 90.00
_cell_angle_beta 90.00
_cell_angle_gamma 90.00
_space_group_name_H-M_alt 'P 1'
_space_group_IT_number 1
_space_group_name_Hall 'P 1'
loop_
_atom_site_label
_atom_site_type_symbol
_atom_site_fract_x
_atom_site_fract_y
_atom_site_fract_z
B1 B 0.5000 0.5000 0.5000
Mn1 Mn 0.0000 0.0000 0.0000
Pd1 Pd 0.0000 0.5000 0.0000
Pd2 Pd 0.0000 0.0000 0.5000
Pd3 Pd 0.5000 0.0000 0.0000
```

=====

6.
A relaxed Mn5BPd15 crystal. Source: Alexandria via LeMat-Bulk, functional PBE-GGA.

Output
Symmetry = No. 123

The structure in CIF format:
```
data_Mn5BPd15
_chemical_formula_sum 'Mn5 B1 Pd15'
_cell_length_a 4.0444
_cell_length_b 4.0444
_cell_length_c 19.2591
_cell_angle_alpha 90.00
_cell_angle_beta 90.00
_cell_angle_gamma 90.00
_space_group_name_H-M_alt 'P 1'
_space_group_IT_number 1
_space_group_name_Hall 'P 1'
loop_
_atom_site_label
_atom_site_type_symbol
_atom_site_fract_x
_atom_site_fract_y
_atom_site_fract_z
Mn1 Mn 0.0000 0.0000 0.8898
Mn2 Mn 0.0000 0.0000 0.1102
Mn3 Mn 0.0000 0.0000 0.3042
Mn4 Mn 0.0000 0.0000 0.5000
Mn5 Mn 0.0000 0.0000 0.6958
B1 B 0.5000 0.5000 0.0000
Pd1 Pd 0.0000 0.5000 0.0000
Pd2 Pd 0.0000 0.5000 0.2059
Pd3 Pd 0.0000 0.5000 0.4023
Pd4 Pd 0.0000 0.5000 0.5977
Pd5 Pd 0.0000 0.5000 0.7941
Pd6 Pd 0.5000 0.5000 0.8927
Pd7 Pd 0.5000 0.5000 0.1073
Pd8 Pd 0.5000 0.5000 0.3046
Pd9 Pd 0.5000 0.5000 0.5000
Pd10 Pd 0.5000 0.5000 0.6954
Pd11 Pd 0.5000 0.0000 0.0000
Pd12 Pd 0.5000 0.0000 0.2059
Pd13 Pd 0.5000 0.0000 0.4023
Pd14 Pd 0.5000 0.0000 0.5977
Pd15 Pd 0.5000 0.0000 0.7941
```

=====

7.
A relaxed MnB2Pd crystal. Source: Alexandria via LeMat-Bulk, functional PBE-GGA.

Output
Offset from the most stable computed form = 0.000 eV per atom
Symmetry = No. 225

The structure in CIF format:
```
data_MnB2Pd
_chemical_formula_sum 'Mn1 B2 Pd1'
_cell_length_a 3.7383
_cell_length_b 3.7383
_cell_length_c 3.7383
_cell_angle_alpha 60.00
_cell_angle_beta 60.00
_cell_angle_gamma 60.00
_space_group_name_H-M_alt 'P 1'
_space_group_IT_number 1
_space_group_name_Hall 'P 1'
loop_
_atom_site_label
_atom_site_type_symbol
_atom_site_fract_x
_atom_site_fract_y
_atom_site_fract_z
B1 B 0.2500 0.2500 0.2500
B2 B 0.7500 0.7500 0.7500
Mn1 Mn 0.0000 0.0000 0.0000
Pd1 Pd 0.5000 0.5000 0.5000
```

=====

8.
A relaxed MnB2Pd4 crystal. Source: Alexandria via LeMat-Bulk, functional PBE-GGA.

Output
Symmetry = No. 139

The structure in CIF format:
```
data_MnB2Pd4
_chemical_formula_sum 'Mn1 B2 Pd4'
_cell_length_a 4.6261
_cell_length_b 4.6261
_cell_length_c 6.2711
_cell_angle_alpha 68.36
_cell_angle_beta 68.36
_cell_angle_gamma 90.00
_space_group_name_H-M_alt 'P 1'
_space_group_IT_number 1
_space_group_name_Hall 'P 1'
loop_
_atom_site_label
_atom_site_type_symbol
_atom_site_fract_x
_atom_site_fract_y
_atom_site_fract_z
B1 B 0.5755 0.5755 0.8491
B2 B 0.4245 0.4245 0.1509
Mn1 Mn 0.0000 0.0000 0.0000
Pd1 Pd 0.7585 0.7585 0.4829
Pd2 Pd 0.2415 0.2415 0.5171
Pd3 Pd 0.0000 0.5000 0.0000
Pd4 Pd 0.5000 0.0000 0.0000
```

=====

9.
A relaxed MnB2Pd crystal. Source: Alexandria via LeMat-Bulk, functional PBE-GGA.

Output
Offset from the most stable computed form = 0.308 eV per atom
Symmetry = No. 122

The structure in CIF format:
```
data_MnB2Pd
_chemical_formula_sum 'Mn2 B4 Pd2'
_cell_length_a 4.6634
_cell_length_b 4.6634
_cell_length_c 5.6653
_cell_angle_alpha 65.70
_cell_angle_beta 65.70
_cell_angle_gamma 90.00
_space_group_name_H-M_alt 'P 1'
_space_group_IT_number 1
_space_group_name_Hall 'P 1'
loop_
_atom_site_label
_atom_site_type_symbol
_atom_site_fract_x
_atom_site_fract_y
_atom_site_fract_z
B1 B 0.6041 0.1250 0.2500
B2 B 0.1459 0.6250 0.2500
B3 B 0.3750 0.3959 0.7500
B4 B 0.8750 0.8541 0.7500
Mn1 Mn 0.5000 0.5000 0.0000
Mn2 Mn 0.2500 0.7500 0.5000
Pd1 Pd 0.0000 0.0000 0.0000
Pd2 Pd 0.7500 0.2500 0.5000
```

=====

10.
A relaxed MnB3Pd crystal. Source: Alexandria via LeMat-Bulk, functional PBE-GGA.

Output
Offset from the most stable computed form = 0.000 eV per atom
Symmetry = No. 221

The structure in CIF format:
```
data_MnB3Pd
_chemical_formula_sum 'Mn1 B3 Pd1'
_cell_length_a 3.7867
_cell_length_b 3.7867
_cell_length_c 3.7867
_cell_angle_alpha 90.00
_cell_angle_beta 90.00
_cell_angle_gamma 90.00
_space_group_name_H-M_alt 'P 1'
_space_group_IT_number 1
_space_group_name_Hall 'P 1'
loop_
_atom_site_label
_atom_site_type_symbol
_atom_site_fract_x
_atom_site_fract_y
_atom_site_fract_z
B1 B 0.0000 0.5000 0.0000
B2 B 0.0000 0.0000 0.5000
B3 B 0.5000 0.0000 0.0000
Mn1 Mn 0.0000 0.0000 0.0000
Pd1 Pd 0.5000 0.5000 0.5000
```

=====

11.
A relaxed MnBPd5 crystal. Source: Alexandria via LeMat-Bulk, functional PBE-GGA.

Output
Offset from the most stable computed form = 0.000 eV per atom
Symmetry = No. 123

The structure in CIF format:
```
data_MnBPd5
_chemical_formula_sum 'Mn1 B1 Pd5'
_cell_length_a 3.8169
_cell_length_b 3.8169
_cell_length_c 6.7762
_cell_angle_alpha 90.00
_cell_angle_beta 90.00
_cell_angle_gamma 90.00
_space_group_name_H-M_alt 'P 1'
_space_group_IT_number 1
_space_group_name_Hall 'P 1'
loop_
_atom_site_label
_atom_site_type_symbol
_atom_site_fract_x
_atom_site_fract_y
_atom_site_fract_z
Mn1 Mn 0.0000 0.0000 0.5000
B1 B 0.5000 0.5000 0.0000
Pd1 Pd 0.0000 0.5000 0.8036
Pd2 Pd 0.0000 0.5000 0.1964
Pd3 Pd 0.5000 0.0000 0.8036
Pd4 Pd 0.5000 0.0000 0.1964
Pd5 Pd 0.5000 0.5000 0.5000
```

=====

12.
A relaxed MnBPd6 crystal. Source: Alexandria via LeMat-Bulk, functional PBE-GGA.

Output
Symmetry = No. 166

The structure in CIF format:
```
data_MnBPd6
_chemical_formula_sum 'Mn1 B1 Pd6'
_cell_length_a 5.0509
_cell_length_b 5.0509
_cell_length_c 5.0505
_cell_angle_alpha 80.23
_cell_angle_beta 80.23
_cell_angle_gamma 99.80
_space_group_name_H-M_alt 'P 1'
_space_group_IT_number 1
_space_group_name_Hall 'P 1'
loop_
_atom_site_label
_atom_site_type_symbol
_atom_site_fract_x
_atom_site_fract_y
_atom_site_fract_z
Mn1 Mn 0.5000 0.5000 0.5000
B1 B 0.0000 0.0000 0.0000
Pd1 Pd 0.0920 0.7103 0.2896
Pd2 Pd 0.7103 0.0920 0.2896
Pd3 Pd 0.2897 0.9080 0.7104
Pd4 Pd 0.9080 0.2897 0.7104
Pd5 Pd 0.2896 0.2896 0.0924
Pd6 Pd 0.7104 0.7104 0.9076
```

=====

Values of total DFT energy (no corrections), in order: -0.3108 -0.3894 -0.2630 -0.4446 -0.3342 -0.4728 -0.4864 -0.4065 -0.4638 -0.4386 -0.4520 -0.4383, all in Ry per atom.